Sn2Bi2F GGA-PBE relaxed; density of states at the Fermi level = 2.8 states/eV/f.u.; raw formation energy = -1.4 eV/f.u.; crystal system = tetragonal
1.0
-6.9492 -2.9205 -3.4423
-0.7460 -5.4890 6.1631
-2.1885 2.6929 2.1334
Bi Sn F
4 4 2
direct
0.3396 0.8396 0.0000 Bi
0.1604 0.3396 0.0000 Bi
0.8396 0.6604 0.0000 Bi
0.6604 0.1604 0.0000 Bi
0.6391 0.8609 0.5000 Sn
0.8609 0.3609 0.5000 Sn
0.3609 0.1391 0.5000 Sn
0.1391 0.6391 0.5000 Sn
0.5000 0.5000 0.0000 F
0.0000 0.0000 0.0000 F



TbNbTc GGA-PBE relaxed; density of states at the Fermi level = 3.3 states/eV/f.u.; DFT formation energy = -0.03 eV per atom; relative energy among the computed polymorphs = 0.0 meV per atom; crystal system = tetragonal
1.0
-2.4608 -2.0289 -0.8883
1.7595 -2.5973 1.0579
-1.8893 2.8362 4.9251
Nb Tc Tb
1 1 1
direct
0.3062 0.3062 0.6124 Nb
0.6865 0.6865 0.3730 Tc
0.0073 0.0073 0.0146 Tb



Nd3Al4Si2 GGA-PBE relaxed; density of states at the Fermi level = 3.6 states/eV/f.u.; raw formation energy = -5.3 eV/f.u.; crystal system = monoclinic
1.0
-2.1663 -3.2656 -1.7115
3.6901 -1.9333 4.3603
-6.8916 2.1701 4.5824
Nd Si Al
3 2 4
direct
0.6681 0.3362 0.6634 Nd
0.0000 0.0000 0.0000 Nd
0.3319 0.6638 0.3366 Nd
0.6114 0.2229 0.2785 Si
0.3886 0.7771 0.7215 Si
0.9484 0.8968 0.6176 Al
0.7254 0.4508 0.0627 Al
0.0516 0.1032 0.3824 Al
0.2746 0.5492 0.9373 Al



Mn2NbWSe GGA-PBE relaxed; density of states at the Fermi level = 6.8 states/eV/f.u.; raw formation energy = 6.6 eV/f.u.; relative energy among the computed polymorphs = 229.6 meV per atom; crystal system = tetragonal
1.0
-0.8768 -1.6654 -4.3786
2.7398 -3.8831 0.9283
-3.8306 -2.3094 1.6455
W Mn Se Nb
1 2 1 1
direct
0.0000 0.0000 0.0000 W
0.5000 0.0000 0.0000 Mn
0.0000 0.0000 0.5000 Mn
0.5000 0.5000 0.5000 Se
0.0000 0.5000 0.0000 Nb



LiMg3Mn GGA-PBE relaxed; density of states at the Fermi level = 6.4 states/eV/f.u.; DFT formation energy = 1.01 eV per atom; relative energy among the computed polymorphs = 465.3 meV per atom; crystal system = cubic
1.0
-3.7399 0.3435 2.7694
-0.0790 -4.6420 0.4691
2.7895 0.3291 3.7262
Mg Li Mn
3 1 1
direct
0.0000 0.0000 0.5000 Mg
0.5000 0.0000 0.0000 Mg
0.0000 0.5000 0.0000 Mg
0.0000 0.0000 0.0000 Li
0.5000 0.5000 0.5000 Mn



YRu3Pt GGA-PBE relaxed; density of states at the Fermi level = 6.4 states/eV/f.u.; DFT formation energy = 2.16 eV per atom; relative energy among the computed polymorphs = 1043.1 meV per atom; crystal system = cubic
1.0
4.7770 0.0000 0.0000
0.0000 4.7770 0.0000
0.0000 0.0000 4.7770
Pt Ru Y
1 3 1
direct
0.5000 0.5000 0.5000 Pt
0.0000 0.5000 0.0000 Ru
0.0000 0.0000 0.5000 Ru
0.5000 0.0000 0.0000 Ru
0.0000 0.0000 0.0000 Y



Na3ErI6 GGA-PBE relaxed; density of states at the Fermi level = 0.0 states/eV/f.u.; raw formation energy = -12.8 eV/f.u.; crystal system = monoclinic
1.0
-3.8287 3.2052 -5.9937
-2.3738 -7.6018 -2.5488
-9.6985 0.7991 6.6490
I Na Er
12 6 2
direct
0.6851 0.1790 0.9279 I
0.6477 0.4467 0.2644 I
0.1851 0.3210 0.4279 I
0.8149 0.6790 0.5721 I
0.8337 0.6918 0.9235 I
0.1477 0.0533 0.7644 I
0.3149 0.8210 0.0721 I
0.8523 0.9467 0.2356 I
0.3523 0.5533 0.7356 I
0.3337 0.8082 0.4235 I
0.6663 0.1918 0.5765 I
0.1663 0.3082 0.0765 I
0.4585 0.0997 0.2440 Na
0.5415 0.9003 0.7560 Na
0.5000 0.5000 0.0000 Na
0.0000 0.0000 0.5000 Na
0.9585 0.4003 0.7440 Na
0.0415 0.5997 0.2560 Na
0.5000 0.5000 0.5000 Er
0.0000 0.0000 0.0000 Er



Ba2LaMnN4 GGA-PBE relaxed; density of states at the Fermi level = 2.2 states/eV/f.u.; raw formation energy = -4.9 eV/f.u.; crystal system = orthorhombic
1.0
5.6351 0.0000 0.0000
0.0000 7.5651 0.0000
0.0000 0.0000 7.5811
Ba Mn N La
4 2 8 2
direct
0.4546 0.3426 0.7372 Ba
0.9546 0.6574 0.2372 Ba
0.9546 0.6574 0.7628 Ba
0.4546 0.3426 0.2628 Ba
0.5030 0.8408 0.5000 Mn
0.0030 0.1592 0.0000 Mn
0.4641 0.0775 0.5000 N
0.4226 0.7365 0.7057 N
0.9226 0.2635 0.7943 N
0.9226 0.2635 0.2057 N
0.3239 0.1745 0.0000 N
0.9641 0.9225 0.0000 N
0.8239 0.8255 0.5000 N
0.4226 0.7365 0.2943 N
0.9545 0.1041 0.5000 La
0.4545 0.8959 0.0000 La



SrNdI2 GGA-PBE relaxed; density of states at the Fermi level = 4.2 states/eV/f.u.; raw formation energy = -3.7 eV/f.u.; crystal system = trigonal
1.0
4.1385 0.0000 0.0000
2.0693 3.5841 0.0000
2.0693 1.1947 11.2963
Sr I Nd
1 2 1
direct
0.0000 0.0000 0.0000 Sr
0.1019 0.1019 0.6942 I
0.8981 0.8981 0.3058 I
0.5000 0.5000 0.5000 Nd



RePdO6 GGA-PBE relaxed; density of states at the Fermi level = 9.0 states/eV/f.u.; raw formation energy = -4.8 eV/f.u.; crystal system = cubic
1.0
5.4156 0.0000 0.0000
2.7078 4.6900 0.0000
2.7078 1.5633 4.4218
O Re Pd
6 1 1
direct
0.2434 0.7566 0.2434 O
0.7566 0.2434 0.7566 O
0.7566 0.2434 0.2434 O
0.2434 0.2434 0.7566 O
0.2434 0.7566 0.7566 O
0.7566 0.7566 0.2434 O
0.0000 0.0000 0.0000 Re
0.5000 0.5000 0.5000 Pd



LiSn3Se GGA-PBE relaxed; density of states at the Fermi level = 2.5 states/eV/f.u.; raw formation energy = 0.8 eV/f.u.; relative energy among the computed polymorphs = 0.0 meV per atom; crystal system = cubic
1.0
5.0343 0.0000 0.0000
0.0000 5.0343 0.0000
0.0000 0.0000 5.0343
Li Sn Se
1 3 1
direct
0.0000 0.0000 0.0000 Li
0.0000 0.5000 0.0000 Sn
0.0000 0.0000 0.5000 Sn
0.5000 0.0000 0.0000 Sn
0.5000 0.5000 0.5000 Se



MgZn2Bi GGA-PBE relaxed; density of states at the Fermi level = 1.4 states/eV/f.u.; DFT formation energy = 0.09 eV per atom; crystal system = trigonal
1.0
4.6129 0.0000 0.0000
2.3064 3.9948 0.0000
2.3064 1.3316 4.8321
Mg Bi Zn
1 1 2
direct
0.0000 0.0000 0.0000 Mg
0.5000 0.5000 0.5000 Bi
0.7289 0.7289 0.8133 Zn
0.2711 0.2711 0.1867 Zn



K2TlPt GGA-PBE relaxed; density of states at the Fermi level = 1.8 states/eV/f.u.; DFT formation energy = 0.14 eV per atom; relative energy among the computed polymorphs = 278.2 meV per atom; crystal system = tetragonal
1.0
3.3341 0.0059 0.0000
-0.0064 3.3341 0.0000
0.0000 0.0000 10.7837
K Pt Tl
2 1 1
direct
0.0000 0.0000 0.4529 K
0.0000 0.0000 0.0471 K
0.5000 0.5000 0.2500 Pt
0.5000 0.5000 0.7500 Tl



PrHgGe GGA-PBE relaxed; density of states at the Fermi level = 1.9 states/eV/f.u.; DFT formation energy = -0.38 eV per atom; crystal system = cubic
1.0
-0.1094 2.9646 -3.8628
-4.0070 0.2616 -2.7564
-2.7583 4.0132 0.0875
Ge Hg Pr
1 1 1
direct
0.2500 0.2500 0.2500 Ge
0.5000 0.5000 0.5000 Hg
0.0000 0.0000 0.0000 Pr



CeGdRh GGA-PBE relaxed; density of states at the Fermi level = 5.6 states/eV/f.u.; DFT formation energy = -0.33 eV per atom; relative energy among the computed polymorphs = 128.8 meV per atom; crystal system = trigonal
1.0
-1.3676 0.4644 -3.6694
-0.7036 -4.5099 -0.3086
-3.3139 2.7293 1.5806
Gd Ce Rh
1 1 1
direct
0.7009 0.6667 0.3333 Gd
0.2901 0.3333 0.6667 Ce
0.0090 0.0000 0.0000 Rh



Ba2MgAlCu GGA-PBE relaxed; density of states at the Fermi level = 3.0 states/eV/f.u.; DFT formation energy = 0.01 eV per atom; crystal system = tetragonal
1.0
6.2358 0.0000 0.0000
0.0000 6.2358 0.0000
0.0000 0.0000 4.6942
Ba Mg Al Cu
2 1 1 1
direct
0.5000 0.0000 0.0000 Ba
0.0000 0.5000 0.0000 Ba
0.5000 0.5000 0.5000 Mg
0.0000 0.0000 0.5000 Al
0.0000 0.0000 0.0000 Cu



TlCuRu2 GGA-PBE relaxed; density of states at the Fermi level = 3.0 states/eV/f.u.; DFT formation energy = 0.40 eV per atom; relative energy among the computed polymorphs = 22.8 meV per atom; crystal system = monoclinic
1.0
3.6269 0.0000 0.0000
0.0000 2.8714 0.0337
0.0000 2.8093 6.1747
Ru Tl Cu
2 1 1
direct
0.0000 0.9926 0.0070 Ru
0.5000 0.2960 0.2032 Ru
0.0000 0.4894 0.5108 Tl
0.5000 0.7220 0.7790 Cu



CaGdTlPb GGA-PBE relaxed; density of states at the Fermi level = 2.9 states/eV/f.u.; DFT formation energy = -0.44 eV per atom; crystal system = cubic
1.0
-4.5228 1.7962 -2.5478
-4.8686 -2.2902 1.1067
-3.7907 2.8235 2.7984
Gd Pb Tl Ca
1 1 1 1
direct
0.2500 0.2500 0.2500 Gd
0.5000 0.5000 0.5000 Pb
0.0000 0.0000 0.0000 Tl
0.7500 0.7500 0.7500 Ca



AcCdInNi GGA-PBE relaxed; density of states at the Fermi level = 4.0 states/eV/f.u.; DFT formation energy = -0.12 eV per atom; crystal system = cubic
1.0
-0.9603 4.6024 2.1272
-4.3567 2.5154 -1.1497
-3.7167 0.4777 3.5479
In Ni Cd Ac
1 1 1 1
direct
0.0000 0.0000 0.0000 In
0.7500 0.7500 0.7500 Ni
0.2500 0.2500 0.2500 Cd
0.5000 0.5000 0.5000 Ac



CaMn2CoBi GGA-PBE relaxed; density of states at the Fermi level = 6.5 states/eV/f.u.; DFT formation energy = 0.91 eV per atom; crystal system = tetragonal
1.0
5.1231 0.0000 0.0000
0.0000 4.8921 0.0000
0.0000 0.0000 5.1231
Mn Bi Ca Co
2 1 1 1
direct
0.5000 0.0000 0.0000 Mn
0.0000 0.0000 0.5000 Mn
0.0000 0.0000 0.0000 Bi
0.5000 0.5000 0.5000 Ca
0.0000 0.5000 0.0000 Co



LaMgSc2 GGA-PBE relaxed; density of states at the Fermi level = 7.2 states/eV/f.u.; DFT formation energy = 0.01 eV per atom; crystal system = tetragonal
1.0
-2.6539 2.0490 -0.5145
-2.0810 -2.3919 1.2061
1.0213 3.5167 8.7366
Sc Mg La
2 1 1
direct
0.5000 0.5000 0.2257 Sc
0.0000 0.0000 0.9969 Sc
0.5000 0.5000 0.7733 Mg
0.0000 0.0000 0.5041 La



Pr2PaTe GGA-PBE relaxed; density of states at the Fermi level = 5.2 states/eV/f.u.; raw formation energy = 0.2 eV/f.u.; crystal system = trigonal
1.0
-0.7484 -1.9094 2.8188
-2.0438 -2.8090 -0.2899
8.4943 -8.2235 -1.1597
Pr Te Pa
2 1 1
direct
0.9059 0.9059 0.2824 Pr
0.0941 0.0941 0.7176 Pr
0.5000 0.5000 0.5000 Te
0.0000 0.0000 0.0000 Pa



YAlIn2Pd4 GGA-PBE relaxed; density of states at the Fermi level = 2.7 states/eV/f.u.; DFT formation energy = -0.72 eV per atom; crystal system = trigonal
1.0
-4.5705 0.2883 -0.9171
-1.7181 -1.8718 -3.9190
-3.2535 -7.1692 2.0674
Pd Y Al In
4 1 1 2
direct
0.3906 0.3906 0.8282 Pd
0.8690 0.8690 0.3931 Pd
0.1310 0.1310 0.6069 Pd
0.6094 0.6094 0.1718 Pd
0.0000 0.0000 0.0000 Y
0.5000 0.5000 0.5000 Al
0.7480 0.7480 0.7561 In
0.2520 0.2520 0.2439 In



CeScNb4 GGA-PBE relaxed; density of states at the Fermi level = 8.6 states/eV/f.u.; DFT formation energy = 0.17 eV per atom; crystal system = cubic
1.0
5.6560 0.0000 0.0000
2.8280 4.8983 0.0000
2.8280 1.6328 4.6181
Sc Nb Ce
1 4 1
direct
0.0000 0.0000 0.0000 Sc
0.6247 0.6247 0.1258 Nb
0.6247 0.1258 0.6247 Nb
0.6247 0.6247 0.6247 Nb
0.1258 0.6247 0.6247 Nb
0.2500 0.2500 0.2500 Ce



Ga2GeIr2 GGA-PBE relaxed; density of states at the Fermi level = 3.1 states/eV/f.u.; DFT formation energy = -0.23 eV per atom; relative energy among the computed polymorphs = 80.8 meV per atom; crystal system = tetragonal
1.0
-5.0005 5.0131 2.0559
-3.4108 -5.0862 4.1061
1.6551 0.7209 2.2678
Ge Ir Ga
2 4 4
direct
0.0000 0.0000 0.0000 Ge
0.5000 0.5000 0.0000 Ge
0.1561 0.3439 0.0000 Ir
0.3439 0.8439 0.0000 Ir
0.8439 0.6561 0.0000 Ir
0.6561 0.1561 0.0000 Ir
0.8586 0.3586 0.5000 Ga
0.6414 0.8586 0.5000 Ga
0.1414 0.6414 0.5000 Ga
0.3586 0.1414 0.5000 Ga



CoRuSN2 GGA-PBE relaxed; density of states at the Fermi level = 5.3 states/eV/f.u.; raw formation energy = 6.2 eV/f.u.; relative energy among the computed polymorphs = 237.7 meV per atom; crystal system = tetragonal
1.0
-0.6481 2.5917 2.3149
-0.6832 -2.4039 2.5001
4.6350 0.0149 1.2810
Co Ru N S
1 1 2 1
direct
0.0000 0.0000 0.0000 Co
0.5000 0.5000 0.5000 Ru
0.5000 0.0000 0.0000 N
0.0000 0.5000 0.0000 N
0.0000 0.0000 0.5000 S



KY3Hg GGA-PBE relaxed; density of states at the Fermi level = 3.9 states/eV/f.u.; DFT formation energy = 0.29 eV per atom; relative energy among the computed polymorphs = 0.0 meV per atom; crystal system = cubic
1.0
5.8308 0.0000 0.0000
0.0000 5.8308 0.0000
0.0000 0.0000 5.8308
Y K Hg
3 1 1
direct
0.0000 0.0000 0.5000 Y
0.0000 0.5000 0.0000 Y
0.5000 0.0000 0.0000 Y
0.5000 0.5000 0.5000 K
0.0000 0.0000 0.0000 Hg